(1)
Li5S2Br | PBE | relaxed

Values from the calculation:
The calculation puts the formation energy (no corrections) at -1.34 eV per atom. The calculation puts the total moment at 0.00 μB per atom. Its crystal system is monoclinic. As for the density of states at the Fermi level: 0.00 states/eV/cell.

abc: 10.238 8.249 7.059
angles: 90.00 90.07 90.00
Sites, in units of the cell vectors:
Li: 0.065 0.137 0.080
Li: 0.065 0.363 0.580
Li: 0.095 0.604 0.088
Li: 0.095 0.896 0.588
Li: 0.246 0.641 0.751
Li: 0.246 0.859 0.251
Li: 0.403 0.621 0.389
Li: 0.403 0.879 0.889
Li: 0.415 0.117 0.447
Li: 0.415 0.383 0.947
Li: 0.585 0.617 0.053
Li: 0.585 0.883 0.553
Li: 0.597 0.121 0.111
Li: 0.597 0.379 0.611
Li: 0.754 0.141 0.749
Li: 0.754 0.359 0.249
Li: 0.905 0.104 0.412
Li: 0.905 0.396 0.912
Li: 0.935 0.637 0.420
Li: 0.935 0.863 0.920
S: 0.016 0.625 0.748
S: 0.016 0.875 0.248
S: 0.345 0.640 0.065
S: 0.345 0.860 0.565
S: 0.655 0.140 0.435
S: 0.655 0.360 0.935
S: 0.984 0.125 0.752
S: 0.984 0.375 0.252
Br: 0.338 0.122 0.094
Br: 0.338 0.378 0.594
Br: 0.662 0.622 0.406
Br: 0.662 0.878 0.906

=====

(2)
LiSBr2 | PBE | relaxed

Values from the calculation:
The calculation puts the formation energy (no corrections) at -0.11 eV per atom. The calculation puts the total moment at 0.25 μB per atom. Its crystal system is tetragonal. As for the density of states at the Fermi level: 5.59 states/eV/cell.

abc: 6.333 6.333 6.333
angles: 110.33 110.33 107.77
Sites, in units of the cell vectors:
Li: 0.000 0.000 0.000
Li: 0.750 0.250 0.500
S: 0.250 0.750 0.500
S: 0.500 0.500 0.000
Br: 0.106 0.625 0.981
Br: 0.375 0.356 0.481
Br: 0.644 0.125 0.019
Br: 0.875 0.894 0.519

=====

(3)
Li2SbSBr | PBE | relaxed

Values from the calculation:
The calculation puts the formation energy (no corrections) at -0.20 eV per atom. The calculation puts the total moment at 0.00 μB per atom. Its crystal system is tetragonal. As for the density of states at the Fermi level: 1.72 states/eV/cell.

abc: 4.637 4.637 5.502
angles: 90.00 90.00 90.00
Sites, in units of the cell vectors:
Li: 0.000 0.500 0.000
Li: 0.500 0.000 0.000
Sb: 0.000 0.000 0.500
S: 0.500 0.500 0.500
Br: 0.500 0.500 0.000

=====

(4)
LiSe2SBr | PBE | relaxed

Values from the calculation:
The calculation puts the formation energy (no corrections) at 0.51 eV per atom. The calculation puts the total moment at 0.00 μB per atom. Its crystal system is tetragonal. As for the density of states at the Fermi level: 5.10 states/eV/cell.

abc: 4.842 4.842 4.538
angles: 90.00 90.00 90.00
Sites, in units of the cell vectors:
Li: 0.000 0.000 0.000
Se: 0.000 0.500 0.000
Se: 0.500 0.000 0.000
S: 0.500 0.500 0.500
Br: 0.000 0.000 0.500

=====

(5)
LiSeSBr2 | PBE | relaxed

Values from the calculation:
The calculation puts the formation energy (no corrections) at 0.30 eV per atom. The calculation puts the total moment at 0.00 μB per atom. Its crystal system is tetragonal. As for the density of states at the Fermi level: 4.67 states/eV/cell.

abc: 4.370 4.370 8.496
angles: 90.00 90.00 90.00
Sites, in units of the cell vectors:
Li: 0.000 0.000 0.000
Se: 0.000 0.000 0.500
S: 0.500 0.500 0.500
Br: 0.000 0.500 0.000
Br: 0.500 0.000 0.000

=====

(6)
LiSe2SBr | PBE | relaxed

Values from the calculation:
The calculation puts the formation energy (no corrections) at 0.07 eV per atom. The calculation puts the total moment at 0.08 μB per atom. Its crystal system is tetragonal. As for the density of states at the Fermi level: 4.15 states/eV/cell.

abc: 4.931 4.931 5.260
angles: 90.00 90.00 90.00
Sites, in units of the cell vectors:
Li: 0.000 0.000 0.000
Se: 0.000 0.500 0.500
Se: 0.500 0.000 0.500
S: 0.500 0.500 0.500
Br: 0.500 0.500 0.000

=====

(7)
LiSeSBr2 | PBE | relaxed

Values from the calculation:
The calculation puts the formation energy (no corrections) at -0.05 eV per atom. The calculation puts the total moment at 0.00 μB per atom. Its crystal system is tetragonal. As for the density of states at the Fermi level: 3.72 states/eV/cell.

abc: 5.260 5.260 4.924
angles: 90.00 90.00 90.00
Sites, in units of the cell vectors:
Li: 0.000 0.000 0.000
Se: 0.500 0.500 0.000
S: 0.500 0.500 0.500
Br: 0.000 0.500 0.500
Br: 0.500 0.000 0.500

=====

(8)
LiTe2SBr | PBE | relaxed

Values from the calculation:
The calculation puts the formation energy (no corrections) at -0.03 eV per atom. The calculation puts the total moment at 0.00 μB per atom. Its crystal system is tetragonal. As for the density of states at the Fermi level: 4.21 states/eV/cell.

abc: 5.356 5.356 4.932
angles: 90.00 90.00 90.00
Sites, in units of the cell vectors:
Li: 0.000 0.000 0.000
Te: 0.000 0.500 0.500
Te: 0.500 0.000 0.500
S: 0.000 0.000 0.500
Br: 0.500 0.500 0.000

=====

(9)
Li6TeSBr2 | PBE | relaxed

Values from the calculation:
The calculation puts the formation energy (no corrections) at -1.24 eV per atom. The calculation puts the total moment at 0.00 μB per atom. Its crystal system is monoclinic. As for the density of states at the Fermi level: 0.00 states/eV/cell.

abc: 6.715 6.715 6.757
angles: 118.59 118.59 60.64
Sites, in units of the cell vectors:
Li: 0.151 0.673 0.641
Li: 0.226 0.226 0.876
Li: 0.327 0.849 0.359
Li: 0.673 0.151 0.641
Li: 0.774 0.774 0.124
Li: 0.849 0.327 0.359
Te: 0.500 0.500 0.000
S: 0.000 0.000 0.500
Br: 0.251 0.251 0.289
Br: 0.749 0.749 0.711

=====

(10)
Li2TlSBr | PBE | relaxed

Values from the calculation:
The calculation puts the formation energy (no corrections) at -0.96 eV per atom. The calculation puts the total moment at 0.00 μB per atom. Its crystal system is tetragonal. As for the density of states at the Fermi level: 0.00 states/eV/cell.

abc: 4.684 4.684 6.370
angles: 90.00 90.00 90.00
Sites, in units of the cell vectors:
Li: 0.000 0.500 0.000
Li: 0.500 0.000 0.000
Tl: 0.000 0.000 0.500
S: 0.000 0.000 0.000
Br: 0.500 0.500 0.500

=====

(11)
LiSbBr2 | PBE | relaxed

Values from the calculation:
The calculation puts the formation energy (no corrections) at -0.80 eV per atom. The calculation puts the total moment at 0.00 μB per atom. Its crystal system is trigonal. As for the density of states at the Fermi level: 0.68 states/eV/cell.

abc: 8.965 8.965 8.965
angles: 24.01 24.01 24.01
Sites, in units of the cell vectors:
Li: 0.000 0.000 0.000
Sb: 0.500 0.500 0.500
Br: 0.393 0.393 0.393
Br: 0.607 0.607 0.607

=====

(12)
LiSbBr | PBE | relaxed

Values from the calculation:
The calculation puts the formation energy (no corrections) at -0.14 eV per atom. The calculation puts the total moment at 0.00 μB per atom. Its crystal system is hexagonal. As for the density of states at the Fermi level: 2.05 states/eV/cell.

abc: 4.881 4.881 3.541
angles: 90.00 90.00 120.00
Sites, in units of the cell vectors:
Li: 0.000 0.000 0.000
Sb: 0.667 0.333 0.500
Br: 0.333 0.667 0.000